(1)
PaAlIr2 | GGA-PBE | optimized geometry

a b c (Å): 3.023 3.023 7.310
angles (deg): 90.00 90.00 90.00
Atoms (fractional coordinates):
Pa (0.000, 0.000, 0.000)
Al (0.000, 0.000, 0.500)
Ir (0.500, 0.500, 0.290)
Ir (0.500, 0.500, 0.710)

Values from the calculation:
E_form, eV per atom: -0.82
Uncorrected energy, eV per cell: -34.26
Total magnetization, μB/atom: 0.00


(2)
CaPm4S5 | GGA-PBE | optimized geometry

a b c (Å): 6.980 6.980 6.980
angles (deg): 99.61 99.61 131.78
Atoms (fractional coordinates):
Ca (0.000, 0.000, 0.000)
Pm (0.199, 0.400, 0.599)
Pm (0.400, 0.801, 0.201)
Pm (0.600, 0.199, 0.799)
Pm (0.801, 0.600, 0.401)
S (0.098, 0.704, 0.802)
S (0.296, 0.098, 0.394)
S (0.500, 0.500, 0.000)
S (0.704, 0.902, 0.606)
S (0.902, 0.296, 0.198)

Values from the calculation:
Uncorrected formation energy, eV/f.u.: -20.443
Uncorrected energy, eV per cell: -62.08
Total magnetization, μB/atom: 0.00


(3)
Tc4Ir | GGA-PBE | optimized geometry

a b c (Å): 3.711 3.711 11.742
angles (deg): 90.00 90.00 90.00
Atoms (fractional coordinates):
Tc (0.000, 0.000, 0.100)
Tc (0.000, 0.000, 0.900)
Tc (0.000, 0.500, 0.250)
Tc (0.000, 0.500, 0.750)
Tc (0.500, 0.000, 0.250)
Tc (0.500, 0.000, 0.750)
Tc (0.500, 0.500, 0.400)
Tc (0.500, 0.500, 0.600)
Ir (0.000, 0.000, 0.500)
Ir (0.500, 0.500, 0.000)

Values from the calculation:
E_form, eV per atom: 0.64
Uncorrected energy, eV per cell: -94.29
E above lowest polymorph, meV per atom: 678.3
Total magnetization, μB/atom: 0.00


(4)
Rb2RuWCl6 | GGA-PBE | optimized geometry

a b c (Å): 7.012 7.012 7.012
angles (deg): 114.86 114.86 99.16
Atoms (fractional coordinates):
Rb (0.250, 0.750, 0.500)
Rb (0.750, 0.250, 0.500)
Ru (0.000, 0.000, 0.000)
W (0.500, 0.500, 0.000)
Cl (0.248, 0.248, 0.000)
Cl (0.267, 0.267, 0.534)
Cl (0.267, 0.733, 0.000)
Cl (0.733, 0.267, 0.000)
Cl (0.733, 0.733, 0.466)
Cl (0.752, 0.752, 0.000)

Values from the calculation:
Uncorrected formation energy, eV/f.u.: -7.545
Uncorrected energy, eV per cell: -42.79
Total magnetization, μB/atom: 0.40


(5)
RbHfRu3 | GGA-PBE | optimized geometry

a b c (Å): 4.988 4.988 4.988
angles (deg): 90.00 90.00 90.00
Atoms (fractional coordinates):
Rb (0.000, 0.000, 0.000)
Hf (0.500, 0.500, 0.500)
Ru (0.000, 0.500, 0.500)
Ru (0.500, 0.000, 0.500)
Ru (0.500, 0.500, 0.000)

Values from the calculation:
E_form, eV per atom: 1.46
Uncorrected energy, eV per cell: -31.45
E above lowest polymorph, meV per atom: 0.0
Total magnetization, μB/atom: 0.77


(6)
Pm5TmPb8 | GGA-PBE | optimized geometry

a b c (Å): 8.264 8.264 8.264
angles (deg): 108.05 108.05 112.36
Atoms (fractional coordinates):
Pm (0.000, 0.000, 0.000)
Pm (0.149, 0.489, 0.892)
Pm (0.511, 0.404, 0.660)
Pm (0.596, 0.256, 0.108)
Pm (0.744, 0.851, 0.340)
Tm (0.250, 0.750, 0.500)
Pb (0.023, 0.294, 0.414)
Pb (0.187, 0.090, 0.722)
Pb (0.367, 0.464, 0.278)
Pb (0.392, 0.977, 0.271)
Pb (0.536, 0.813, 0.903)
Pb (0.706, 0.121, 0.729)
Pb (0.879, 0.608, 0.586)
Pb (0.910, 0.633, 0.097)

Values from the calculation:
E_form, eV per atom: -0.37
Uncorrected energy, eV per cell: -63.06
Total magnetization, μB/atom: 0.00